Entry 1:
# PBE Li2SmAs2Pd2, optimized geometry
data_Li2SmAs2Pd2
_symmetry_space_group_name_H-M 'P 1'
_symmetry_Int_Tables_number 1
_cell_length_a 8.1316
_cell_length_b 8.1316
_cell_length_c 8.1316
_cell_angle_alpha 30.62
_cell_angle_beta 30.62
_cell_angle_gamma 30.62
loop_
_symmetry_equiv_pos_as_xyz
'x,y,z'
loop_
_atom_site_label
_atom_site_fract_x
_atom_site_fract_y
_atom_site_fract_z
Li1 0.1413 0.1413 0.1413
Li2 0.8587 0.8587 0.8587
Sm1 0.0000 0.0000 0.0000
As1 0.2537 0.2537 0.2537
As2 0.7463 0.7463 0.7463
Pd1 0.4272 0.4272 0.4272
Pd2 0.5728 0.5728 0.5728
# Formation energy from the elements (eV per atom): -0.894
# E_tot (eV per atom): -4.93
# SG: R-3m
# Size of the total moment (μB per atom): 0.000

Entry 2:
# PBE TaNb8Ru2, optimized geometry
data_TaNb8Ru2
_symmetry_space_group_name_H-M 'P 1'
_symmetry_Int_Tables_number 1
_cell_length_a 7.6562
_cell_length_b 7.6562
_cell_length_c 5.2138
_cell_angle_alpha 95.01
_cell_angle_beta 95.01
_cell_angle_gamma 40.82
loop_
_symmetry_equiv_pos_as_xyz
'x,y,z'
loop_
_atom_site_label
_atom_site_fract_x
_atom_site_fract_y
_atom_site_fract_z
Ta1 0.0000 0.0000 0.0000
Nb1 0.1524 0.6548 0.3806
Nb2 0.2112 0.2112 0.1108
Nb3 0.3452 0.8476 0.6194
Nb4 0.4155 0.4155 0.8849
Nb5 0.5845 0.5845 0.1151
Nb6 0.6548 0.1524 0.3806
Nb7 0.7888 0.7888 0.8892
Nb8 0.8476 0.3452 0.6194
Ru1 0.2588 0.2588 0.6176
Ru2 0.7412 0.7412 0.3824
# Formation energy from the elements (eV per atom): 0.054
# E_tot (eV per atom): -10.03
# SG: C2/m
# Size of the total moment (μB per atom): 0.000

Entry 3:
# PBE Cr2TcPt, optimized geometry
data_Cr2TcPt
_symmetry_space_group_name_H-M 'P 1'
_symmetry_Int_Tables_number 1
_cell_length_a 8.7337
_cell_length_b 8.7337
_cell_length_c 8.7337
_cell_angle_alpha 154.95
_cell_angle_beta 154.95
_cell_angle_gamma 35.72
loop_
_symmetry_equiv_pos_as_xyz
'x,y,z'
loop_
_atom_site_label
_atom_site_fract_x
_atom_site_fract_y
_atom_site_fract_z
Cr1 0.0952 0.6250 0.9702
Cr2 0.3750 0.3452 0.4702
Cr3 0.6548 0.1250 0.0298
Cr4 0.8750 0.9048 0.5298
Tc1 0.0000 0.0000 0.0000
Tc2 0.7500 0.2500 0.5000
Pt1 0.2500 0.7500 0.5000
Pt2 0.5000 0.5000 0.0000
# Formation energy from the elements (eV per atom): 0.595
# E_tot (eV per atom): -8.32
# SG: I-42d
# Size of the total moment (μB per atom): 0.000

Entry 4:
# PBE RbSr2Te, optimized geometry
data_RbSr2Te
_symmetry_space_group_name_H-M 'P 1'
_symmetry_Int_Tables_number 1
_cell_length_a 12.8763
_cell_length_b 12.8763
_cell_length_c 12.8763
_cell_angle_alpha 20.19
_cell_angle_beta 20.19
_cell_angle_gamma 20.19
loop_
_symmetry_equiv_pos_as_xyz
'x,y,z'
loop_
_atom_site_label
_atom_site_fract_x
_atom_site_fract_y
_atom_site_fract_z
Rb1 0.0000 0.0000 0.0000
Sr1 0.1126 0.1126 0.1126
Sr2 0.8874 0.8874 0.8874
Te1 0.5000 0.5000 0.5000
# E_tot (eV per atom): -2.55
# SG: R-3m
# Formation energy without anion corrections (eV/atom): -0.68
# Size of the total moment (μB per atom): 0.000

Entry 5:
# PBE NaPdPt2, optimized geometry
data_NaPdPt2
_symmetry_space_group_name_H-M 'P 1'
_symmetry_Int_Tables_number 1
_cell_length_a 9.7050
_cell_length_b 9.7050
_cell_length_c 9.7050
_cell_angle_alpha 152.83
_cell_angle_beta 152.83
_cell_angle_gamma 38.80
loop_
_symmetry_equiv_pos_as_xyz
'x,y,z'
loop_
_atom_site_label
_atom_site_fract_x
_atom_site_fract_y
_atom_site_fract_z
Na1 0.0000 0.0000 0.0000
Na2 0.7500 0.2500 0.5000
Pd1 0.2500 0.7500 0.5000
Pd2 0.5000 0.5000 0.0000
Pt1 0.2755 0.6250 0.1505
Pt2 0.3750 0.5255 0.6505
Pt3 0.4745 0.1250 0.8495
Pt4 0.8750 0.7245 0.3495
# Formation energy from the elements (eV per atom): 0.339
# E_tot (eV per atom): -4.31
# SG: I-42d
# Size of the total moment (μB per atom): 0.000

Entry 6:
# PBE VPtBr2, optimized geometry
data_VPtBr2
_symmetry_space_group_name_H-M 'P 1'
_symmetry_Int_Tables_number 1
_cell_length_a 8.6329
_cell_length_b 8.6329
_cell_length_c 8.6329
_cell_angle_alpha 22.22
_cell_angle_beta 22.22
_cell_angle_gamma 22.22
loop_
_symmetry_equiv_pos_as_xyz
'x,y,z'
loop_
_atom_site_label
_atom_site_fract_x
_atom_site_fract_y
_atom_site_fract_z
V1 0.0000 0.0000 0.0000
Pt1 0.5000 0.5000 0.5000
Br1 0.4002 0.4002 0.4002
Br2 0.5998 0.5998 0.5998
# E_tot (eV per atom): -4.49
# SG: R-3m
# Formation energy without anion corrections (eV/atom): 0.13
# ΔE to the lowest computed polymorph (eV/atom): 0.000
# Size of the total moment (μB per atom): 0.447

Entry 7:
# PBE MgPbBr2, optimized geometry
data_MgPbBr2
_symmetry_space_group_name_H-M 'P 1'
_symmetry_Int_Tables_number 1
_cell_length_a 5.1023
_cell_length_b 5.1023
_cell_length_c 4.3691
_cell_angle_alpha 90.00
_cell_angle_beta 90.00
_cell_angle_gamma 90.00
loop_
_symmetry_equiv_pos_as_xyz
'x,y,z'
loop_
_atom_site_label
_atom_site_fract_x
_atom_site_fract_y
_atom_site_fract_z
Mg1 0.0000 0.0000 0.0000
Pb1 0.5000 0.5000 0.0000
Br1 0.0000 0.5000 0.5000
Br2 0.5000 0.0000 0.5000
# E_tot (eV per atom): -2.52
# SG: P4/mmm
# Formation energy without anion corrections (eV/atom): -0.36
# ΔE to the lowest computed polymorph (eV/atom): 0.553
# Size of the total moment (μB per atom): 0.000

Entry 8:
# PBE Ca2Al3Pt, optimized geometry
data_Ca2Al3Pt
_symmetry_space_group_name_H-M 'P 1'
_symmetry_Int_Tables_number 1
_cell_length_a 5.5321
_cell_length_b 5.5321
_cell_length_c 5.5145
_cell_angle_alpha 119.83
_cell_angle_beta 119.83
_cell_angle_gamma 60.40
loop_
_symmetry_equiv_pos_as_xyz
'x,y,z'
loop_
_atom_site_label
_atom_site_fract_x
_atom_site_fract_y
_atom_site_fract_z
Ca1 0.1267 0.1267 0.3733
Ca2 0.8733 0.8733 0.6267
Al1 0.0000 0.5000 0.0000
Al2 0.5000 0.0000 0.0000
Al3 0.5000 0.5000 0.5000
Pt1 0.5000 0.5000 0.0000
# Formation energy from the elements (eV per atom): -0.634
# E_tot (eV per atom): -4.18
# SG: C2/m
# Size of the total moment (μB per atom): 0.000

Entry 9:
# PBE Nd6As3PSe2, optimized geometry
data_Nd6As3PSe2
_symmetry_space_group_name_H-M 'P 1'
_symmetry_Int_Tables_number 1
_cell_length_a 9.4953
_cell_length_b 9.4953
_cell_length_c 8.4935
_cell_angle_alpha 102.89
_cell_angle_beta 102.89
_cell_angle_gamma 25.82
loop_
_symmetry_equiv_pos_as_xyz
'x,y,z'
loop_
_atom_site_label
_atom_site_fract_x
_atom_site_fract_y
_atom_site_fract_z
Nd1 0.0018 0.0018 0.2577
Nd2 0.3366 0.3366 0.4242
Nd3 0.3369 0.3369 0.9108
Nd4 0.6631 0.6631 0.0892
Nd5 0.6634 0.6634 0.5758
Nd6 0.9982 0.9982 0.7423
As1 0.1682 0.1682 0.3338
As2 0.5000 0.5000 0.0000
As3 0.8318 0.8318 0.6662
P1 0.5000 0.5000 0.5000
Se1 0.1674 0.1674 0.8353
Se2 0.8326 0.8326 0.1647
# E_tot (eV per atom): -6.26
# SG: C2/m
# Formation energy without anion corrections (eV/atom): -1.68
# Size of the total moment (μB per atom): 0.000

Entry 10:
# PBE BaLi2NCl, optimized geometry
data_BaLi2NCl
_symmetry_space_group_name_H-M 'P 1'
_symmetry_Int_Tables_number 1
_cell_length_a 6.8992
_cell_length_b 6.8992
_cell_length_c 7.8703
_cell_angle_alpha 90.00
_cell_angle_beta 90.00
_cell_angle_gamma 147.14
loop_
_symmetry_equiv_pos_as_xyz
'x,y,z'
loop_
_atom_site_label
_atom_site_fract_x
_atom_site_fract_y
_atom_site_fract_z
Ba1 0.0509 0.9491 0.7500
Ba2 0.9491 0.0509 0.2500
Li1 0.3662 0.6338 0.5765
Li2 0.3662 0.6338 0.9235
Li3 0.6338 0.3662 0.0765
Li4 0.6338 0.3662 0.4235
N1 0.5000 0.5000 0.0000
N2 0.5000 0.5000 0.5000
Cl1 0.2177 0.7823 0.2500
Cl2 0.7823 0.2177 0.7500
# E_tot (eV per atom): -4.06
# SG: Cmcm
# Formation energy without anion corrections (eV/atom): -0.87
# ΔE to the lowest computed polymorph (eV/atom): 0.019
# Size of the total moment (μB per atom): 0.000

Entry 11:
# PBE HoHfIn2, optimized geometry
data_HoHfIn2
_symmetry_space_group_name_H-M 'P 1'
_symmetry_Int_Tables_number 1
_cell_length_a 3.7861
_cell_length_b 3.7861
_cell_length_c 6.6801
_cell_angle_alpha 90.00
_cell_angle_beta 90.00
_cell_angle_gamma 90.00
loop_
_symmetry_equiv_pos_as_xyz
'x,y,z'
loop_
_atom_site_label
_atom_site_fract_x
_atom_site_fract_y
_atom_site_fract_z
Ho1 0.0000 0.0000 0.0000
Hf1 0.0000 0.0000 0.5000
In1 0.5000 0.5000 0.2679
In2 0.5000 0.5000 0.7321
# Formation energy from the elements (eV per atom): -0.192
# E_tot (eV per atom): -5.19
# SG: P4/mmm
# Size of the total moment (μB per atom): 0.000

Entry 12:
# PBE KCu2F6, optimized geometry
data_KCu2F6
_symmetry_space_group_name_H-M 'P 1'
_symmetry_Int_Tables_number 1
_cell_length_a 5.3028
_cell_length_b 5.3028
_cell_length_c 5.6735
_cell_angle_alpha 90.00
_cell_angle_beta 90.00
_cell_angle_gamma 120.00
loop_
_symmetry_equiv_pos_as_xyz
'x,y,z'
loop_
_atom_site_label
_atom_site_fract_x
_atom_site_fract_y
_atom_site_fract_z
K1 0.0000 0.0000 0.0000
Cu1 0.3333 0.6667 0.5000
Cu2 0.6667 0.3333 0.5000
F1 0.0000 0.3762 0.6897
F2 0.0000 0.6238 0.3103
F3 0.3762 0.0000 0.6897
F4 0.3762 0.3762 0.3103
F5 0.6238 0.0000 0.3103
F6 0.6238 0.6238 0.6897
# E_tot (eV per atom): -4.09
# SG: P-31m
# Formation energy without anion corrections (eV/atom): -1.81
# Size of the total moment (μB per atom): 0.333